A plane-wave DFT calculation with PBE-GGA was carried out for a geometry-optimized LiTlFe structure.

- energy above the most stable polymorph in this dataset (meV/atom) = 230
- ΔE_f (kcal/mol of atoms) = 13.5

Cell lengths 6.292, 6.292, 6.292 Å; angles 90.00, 90.00, 90.00 degrees
Space group F-43m (No. 216)
Asymmetric unit:
Li1 0.000 0.000 0.000 (multiplicity 4)
Tl1 0.250 0.250 0.250 (multiplicity 4)
Fe1 0.000 0.000 0.500 (multiplicity 4)

***

A plane-wave DFT calculation with PBE-GGA was carried out for a geometry-optimized LuRhAu2 structure.

- ΔE_f (kcal/mol of atoms) = -12.3

Cell lengths 6.682, 6.682, 6.682 Å; angles 90.00, 90.00, 90.00 degrees
Space group Fm-3m (No. 225)
Asymmetric unit:
Lu1 0.000 0.000 0.000 (multiplicity 4)
Rh1 0.000 0.000 0.500 (multiplicity 4)
Au1 0.250 0.250 0.250 (multiplicity 8)

***

The highest ΔE_f belongs to which entry?
LiTlFe

***

Among the records above, which one has the highest ΔE_f?
LiTlFe